Model one:
Density functional theory data (meta-GGA SCAN) for a PBEsol-optimized structure of Y3CdC.

Values from the calculation:
magnetic moment	0.0	μB per formula unit

a = 6.9119 Å, b = 9.6324 Å, c = 6.8870 Å
α = 90.00°, β = 90.00°, γ = 90.00°
With the nearest neighbours (Å) after each atom.
Space group Imma (No. 74)
Unique sites:
Y  0.0000  0.2500  0.0608 [4 per cell]  2 C 2.44
Y  0.2500  0.0300  0.7500 [8 per cell]  2 C 2.46
Cd  0.0000  0.2500  0.5044 [4 per cell]  5 Y 3.06-3.22
C  0.0000  0.0000  0.0000 [4 per cell]  6 Y 2.44-2.46



Model two:
Density functional theory data (meta-GGA SCAN) for a PBEsol-optimized structure of Y3CdC.

Values from the calculation:
magnetic moment	0.7	μB per formula unit

a = 4.8713 Å, b = 4.8713 Å, c = 4.8713 Å
α = 90.00°, β = 90.00°, γ = 90.00°
With the nearest neighbours (Å) after each atom.
Space group Pm-3m (No. 221)
Unique sites:
Y  0.0000  0.0000  0.5000 [3 per cell]  2 C 2.44
Cd  0.5000  0.5000  0.5000 [1 per cell]  12 Y 3.44
C  0.0000  0.0000  0.0000 [1 per cell]  6 Y 2.44



model one takes first place; second place is 15 meV/atom up.